Fe2OsRh | GGA-PBEsol | optimized geometry

The structure in CIF format:
```
data_Fe2OsRh
_symmetry_space_group_name_H-M 'P m m m'
_symmetry_Int_Tables_number 47
_cell_length_a 2.750
_cell_length_b 4.261
_cell_length_c 4.417
_cell_angle_alpha 90.00
_cell_angle_beta 90.00
_cell_angle_gamma 90.00
loop_
_symmetry_equiv_pos_as_xyz
'x,y,z'
'-x,-y,-z'
'-x,-y,z'
'x,y,-z'
'x,-y,-z'
'-x,y,z'
'-x,y,-z'
'x,-y,z'
loop_
_atom_site_label
_atom_site_type_symbol
_atom_site_fract_x
_atom_site_fract_y
_atom_site_fract_z
Fe1 Fe 0.000 0.000 0.000
Fe2 Fe 0.500 0.000 0.500
Os1 Os 0.000 0.500 0.500
Rh1 Rh 0.500 0.500 0.000
```

Summary:
Total moment in μB per formula unit: 6.334
Calculated total energy in Ha/atom: -0.340
Offset from the most stable computed form in meV per atom: 215
Mass density in g/cm3: 12.990
Crystal system: orthorhombic
ΔH_f (0 K) in meV/atom: 308

AlTeO4 | GGA-PBEsol | optimized geometry

The structure in CIF format:
```
data_AlTeO4
_symmetry_space_group_name_H-M 'P b c n'
_symmetry_Int_Tables_number 60
_cell_length_a 4.538
_cell_length_b 11.473
_cell_length_c 4.883
_cell_angle_alpha 90.00
_cell_angle_beta 90.00
_cell_angle_gamma 90.00
loop_
_symmetry_equiv_pos_as_xyz
'x,y,z'
'-x,-y,-z'
'-x+1/2,-y+1/2,z+1/2'
'x+1/2,y+1/2,-z+1/2'
'x+1/2,-y+1/2,-z'
'-x+1/2,y+1/2,z'
'-x,y,-z+1/2'
'x,-y,z+1/2'
loop_
_atom_site_label
_atom_site_type_symbol
_atom_site_fract_x
_atom_site_fract_y
_atom_site_fract_z
Al1 Al 0.000 0.064 0.250
Te1 Te 0.000 0.334 0.250
O1 O 0.224 0.187 0.089
O2 O 0.228 0.051 0.570
```

Summary:
Total moment in μB per formula unit: 0.000
Calculated total energy in Ha/atom: -0.242
Mass density in g/cm3: 5.710
Crystal system: orthorhombic

Ti3Co5B2 | GGA-PBEsol | optimized geometry

The structure in CIF format:
```
data_Ti3Co5B2
_symmetry_space_group_name_H-M 'P 4/m b m'
_symmetry_Int_Tables_number 127
_symmetry_space_group_name_Hall '-P 4 2ab'
_cell_length_a 8.338
_cell_length_b 8.338
_cell_length_c 3.014
_cell_angle_alpha 90.00
_cell_angle_beta 90.00
_cell_angle_gamma 90.00
loop_
_atom_site_label
_atom_site_type_symbol
_atom_site_fract_x
_atom_site_fract_y
_atom_site_fract_z
Ti1 Ti 0.000 0.000 0.000
Ti2 Ti 0.174 0.326 0.000
Co1 Co 0.000 0.500 0.500
Co2 Co 0.071 0.780 0.500
B1 B 0.121 0.621 0.000
```

Summary:
Total moment in μB per formula unit: 0.000
Calculated total energy in Ha/atom: -0.308
Mass density in g/cm3: 7.288
Crystal system: tetragonal
ΔH_f (0 K) in meV/atom: -613

BaTaIn2 | GGA-PBEsol | optimized geometry

The structure in CIF format:
```
data_BaTaIn2
_symmetry_space_group_name_H-M 'C 1 2/m 1'
_symmetry_Int_Tables_number 12
_cell_length_a 9.510
_cell_length_b 3.118
_cell_length_c 7.263
_cell_angle_alpha 90.00
_cell_angle_beta 95.53
_cell_angle_gamma 90.00
loop_
_symmetry_equiv_pos_as_xyz
'x,y,z'
'-x,-y,-z'
'-x,y,-z'
'x,-y,z'
'x+1/2,y+1/2,z'
'-x+1/2,-y+1/2,-z'
'-x+1/2,y+1/2,-z'
'x+1/2,-y+1/2,z'
loop_
_atom_site_label
_atom_site_type_symbol
_atom_site_fract_x
_atom_site_fract_y
_atom_site_fract_z
Ba1 Ba 0.000 0.000 0.000
Ta1 Ta 0.000 0.500 0.500
In1 In 0.242 0.000 0.686
```

Summary:
Total moment in μB per formula unit: 0.001
Calculated total energy in Ha/atom: -0.179
Offset from the most stable computed form in meV per atom: 0
Mass density in g/cm3: 8.490
Crystal system: monoclinic
ΔH_f (0 K) in meV/atom: 293